Below is a geometry-optimized TaIn2Pt structure, with properties calculated at the PBE level.

a = 9.7387 Å, b = 9.7387 Å, c = 9.7387 Å
α = 18.39°, β = 18.39°, γ = 18.39°
Last column: nearest neighbours and their distance in Å.
Sites, in units of the cell vectors:
In 0.0043 0.0043 0.0043  3 Ta 3.06, 9 In 3.11-3.26
In 0.2428 0.2428 0.2428  3 Pt 2.93, 9 In 3.11-3.26
Pt 0.4956 0.4956 0.4956  3 Ta 2.73, 3 In 2.93
Ta 0.7573 0.7573 0.7573  3 Pt 2.73

Computed properties:
Calculated total energy   -23.58 eV for the cell shown
E above lowest polymorph   83 meV per atom
N(E_F)   3.1 states/eV per cell
Symmetry   R3m (160)
Magnetic moment   0.000 Bohr magnetons per cell


Below is a geometry-optimized KLaCrSb2 structure, with properties calculated at the PBE level.

a = 6.0458 Å, b = 6.5148 Å, c = 6.0458 Å
α = 90.00°, β = 90.00°, γ = 90.00°
Last column: nearest neighbours and their distance in Å.
Sites, in units of the cell vectors:
Sb 0.0000 0.0000 0.5000  2 La 3.02
Sb 0.5000 0.0000 0.0000  2 La 3.02
K 0.0000 0.5000 0.0000  2 La 3.26
Cr 0.5000 0.5000 0.5000  4 K 4.28, 8 Sb 4.44
La 0.0000 0.0000 0.0000  4 Sb 3.02, 2 K 3.26

Computed properties:
Calculated total energy   -19.81 eV for the cell shown
Raw formation energy   0.82 eV per atom
N(E_F)   4.4 states/eV per cell
Symmetry   P4/mmm (123)
Magnetic moment   5.297 Bohr magnetons per cell


Below is a geometry-optimized NdSm2O structure, with properties calculated at the PBE level.

a = 3.2331 Å, b = 3.2331 Å, c = 9.1796 Å
α = 90.00°, β = 90.00°, γ = 90.00°
Last column: nearest neighbours and their distance in Å.
Sites, in units of the cell vectors:
Nd 0.5000 0.5000 0.5000  4 Nd 3.23
O 0.5000 0.5000 0.0000  8 Sm 2.76
Sm 0.0000 0.0000 0.8307  4 O 2.76
Sm 0.0000 0.0000 0.1693  4 O 2.76

Computed properties:
Calculated total energy   -22.37 eV for the cell shown
Raw formation energy   -0.80 eV per atom
E above lowest polymorph   369 meV per atom
N(E_F)   4.9 states/eV per cell
Symmetry   P4/mmm (123)
Magnetic moment   0.000 Bohr magnetons per cell


Among the records above, which one has the highest N(E_F)?
NdSm2O


calculated total energy of number 3 (NdSm2O)?
-22.37 eV for the cell shown